The following is a DFT calculation (PBE) of an optimized crystal structure of Ba2NaCd3Sb4.

Summary:
- density (g/cm3) = 5.8
- E_form (uncorrected) (eV per formula unit) = -5.13
- calculated total energy (eV per atom) = -2.953

a b c (Å): 5.294 5.294 11.425
angles (deg): 90.00 90.00 90.00
Space group P-4m2 (No. 115)
Asymmetric unit:
Ba  0.000  0.500  0.233 [2 per cell]
Na  0.000  0.000  0.500 [1 per cell]
Cd  0.000  0.500  0.883 [2 per cell]
Cd  0.500  0.500  0.500 [1 per cell]
Sb  0.000  0.000  0.000 [1 per cell]
Sb  0.000  0.500  0.636 [2 per cell]
Sb  0.500  0.500  0.000 [1 per cell]

=====

The following is a DFT calculation (PBE) of an optimized crystal structure of BaNaCdSe2.

Summary:
- density (g/cm3) = 4.4
- E_form (uncorrected) (eV per formula unit) = -5.00
- calculated total energy (eV per atom) = -3.226

a b c (Å): 7.755 5.031 8.393
angles (deg): 90.00 99.82 90.00
Space group P2/c (No. 13)
Asymmetric unit:
Ba  0.000  0.171  0.250 [2 per cell]
Na  0.500  0.488  0.750 [2 per cell]
Cd  0.500  0.000  0.000 [2 per cell]
Se  0.222  0.339  0.964 [4 per cell]

=====

The following is a DFT calculation (PBE) of an optimized crystal structure of BaNaCdSi2.

Summary:
- density (g/cm3) = 2.5
- E_form (uncorrected) (eV per formula unit) = 5.13
- calculated total energy (eV per atom) = -1.974

a b c (Å): 5.841 5.841 6.418
angles (deg): 90.00 90.00 90.00
Space group P4/mmm (No. 123)
Asymmetric unit:
Ba  0.000  0.000  0.000 [1 per cell]
Na  0.500  0.500  0.500 [1 per cell]
Cd  0.000  0.000  0.500 [1 per cell]
Si  0.000  0.500  0.000 [2 per cell]

=====

The following is a DFT calculation (PBE) of an optimized crystal structure of BaNaSmCd.

Summary:
- density (g/cm3) = 5.0
- energy of formation from the pure elements (eV per formula unit) = 0.2
- calculated total energy (eV per atom) = -2.179

a b c (Å): 8.266 8.266 8.266
angles (deg): 90.00 90.00 90.00
Space group F-43m (No. 216)
Asymmetric unit:
Ba  0.000  0.000  0.000 [4 per cell]
Na  0.250  0.250  0.750 [4 per cell]
Sm  0.000  0.000  0.500 [4 per cell]
Cd  0.250  0.250  0.250 [4 per cell]

=====

The following is a DFT calculation (PBE) of an optimized crystal structure of BaNaCd2Sn2.

Summary:
- density (g/cm3) = 5.8
- energy of formation from the pure elements (eV per formula unit) = -2.2
- calculated total energy (eV per atom) = -2.550

a b c (Å): 5.0203 5.0203 8.1167
angles (deg): 90.00 90.00 120.00
Space group P-3m1 (No. 164)
Asymmetric unit:
Ba  0.0000  0.0000  0.0000 [1 per cell]
Na  0.0000  0.0000  0.5000 [1 per cell]
Cd  0.3333  0.6667  0.6803 [2 per cell]
Sn  0.3333  0.6667  0.2673 [2 per cell]

=====

The following is a DFT calculation (PBE) of an optimized crystal structure of Ba2NaCd3Sn4.

Summary:
- density (g/cm3) = 6.0
- energy of formation from the pure elements (eV per formula unit) = -3.9
- calculated total energy (eV per atom) = -2.781

a b c (Å): 4.939 4.939 12.617
angles (deg): 90.00 90.00 90.00
Space group P-4m2 (No. 115)
Asymmetric unit:
Ba  0.000  0.500  0.247 [2 per cell]
Na  0.000  0.000  0.500 [1 per cell]
Cd  0.000  0.500  0.863 [2 per cell]
Cd  0.500  0.500  0.500 [1 per cell]
Sn  0.000  0.000  0.000 [1 per cell]
Sn  0.000  0.500  0.639 [2 per cell]
Sn  0.500  0.500  0.000 [1 per cell]

=====

The following is a DFT calculation (PBE) of an optimized crystal structure of Ba2NaCd6Sn.

Summary:
- density (g/cm3) = 5.2
- energy of formation from the pure elements (eV per formula unit) = 0.2
- calculated total energy (eV per atom) = -1.448

a b c (Å): 11.194 11.194 11.194
angles (deg): 90.00 90.00 90.00
Space group Fm-3m (No. 225)
Asymmetric unit:
Ba  0.250  0.250  0.250 [8 per cell]
Na  0.000  0.000  0.000 [4 per cell]
Cd  0.000  0.000  0.245 [24 per cell]
Sn  0.000  0.000  0.500 [4 per cell]

=====

The following is a DFT calculation (PBE) of an optimized crystal structure of BaNa2SrCd.

Summary:
- density (g/cm3) = 2.7
- energy of formation from the pure elements (eV per formula unit) = 0.3
- calculated total energy (eV per atom) = -1.380

a b c (Å): 6.065 6.065 6.365
angles (deg): 90.00 90.00 90.00
Space group P4/mmm (No. 123)
Asymmetric unit:
Ba  0.000  0.000  0.000 [1 per cell]
Na  0.000  0.500  0.500 [2 per cell]
Sr  0.500  0.500  0.000 [1 per cell]
Cd  0.500  0.500  0.500 [1 per cell]

=====

| no. | density of states at the Fermi level (states/eV per atom) |
| --- | --- |
| 1 | 0.332 |
| 2 | 0.393 |
| 3 | 1.147 |
| 4 | 1.087 |
| 5 | 0.363 |
| 6 | 0.568 |
| 7 | 0.684 |
| 8 | 0.767 |